Compound: LiV2O5
Source: Alexandria via LeMat-Bulk
Functional: PBE with a Hubbard U
Structure: relaxed

Cell lengths 7.644, 6.707, 7.684 Å; angles 90.00, 90.00, 90.00 degrees
Space group Pnma (No. 62)
One atom of each set of equivalent atoms:
Li 0.000 0.000 0.000
V 0.125 0.250 0.371
V 0.166 0.750 0.269
O 0.054 0.750 0.496
O 0.122 0.039 0.237
O 0.122 0.250 0.832
O 0.188 0.750 0.003

Computed properties:
Calculated total energy   -7.211 eV/atom
Magnetic moment   1.0 μB/f.u.